1.
Hf2ZrRhO (PBE-GGA, optimized geometry); SG = P4/mmm (123); crystal system = tetragonal; total moment = 0.0 μB per formula unit; formation energy (no corrections) = 0.57 eV per atom; total DFT energy (no corrections) = -37.9 eV per cell; DOS(E_F) = 8.51 states/eV/cell
1.0
4.933 0.000 0.000
0.000 5.045 0.000
0.000 0.000 4.933
Zr Rh Hf O
1 1 2 1
Direct
0.000 0.500 0.000
0.000 0.000 0.000
0.000 0.000 0.500
0.500 0.000 0.000
0.500 0.500 0.500



2.
HfZr2RhO (PBE-GGA, optimized geometry); SG = P4/mmm (123); crystal system = tetragonal; total moment = 0.0 μB per formula unit; formation energy (no corrections) = -1.21 eV per atom; total DFT energy (no corrections) = -45.4 eV per cell; DOS(E_F) = 2.77 states/eV/cell
1.0
4.430 0.000 0.000
0.000 4.430 0.000
0.000 0.000 4.342
Zr O Rh Hf
2 1 1 1
Direct
0.000 0.500 0.000
0.500 0.000 0.000
0.000 0.000 0.000
0.500 0.500 0.500
0.000 0.000 0.500